ScHgRu2 | meta-GGA SCAN | PBEsol geometry

As for the symmetry: P4/mmm, No. 123. For the formation energy from the elements, the calculation gives 0.06 eV/atom.

Lattice parameters (Å, degrees): 3.247 3.247 6.122 90.00 90.00 90.00
Each line ends with the local moment (μB).
Fractional positions:
Hg 0.500 0.500 0.500  -0.02
Ru 0.000 0.000 0.763  -0.60
Ru 0.000 0.000 0.237  -0.60
Sc 0.500 0.500 0.000  0.08

=====

ScHgRu2 | meta-GGA SCAN | PBEsol geometry

As for the symmetry: F-43m, No. 216. For the formation energy from the elements, the calculation gives 0.06 eV/atom.

Lattice parameters (Å, degrees): 4.521 4.521 4.521 60.00 60.00 60.00
Each line ends with the local moment (μB).
Fractional positions:
Hg 0.500 0.500 0.500  -0.03
Ru 0.000 0.000 0.000  1.50
Ru 0.750 0.750 0.750  1.07
Sc 0.250 0.250 0.250  -0.09

=====

Sc2HgRu | meta-GGA SCAN | PBEsol geometry

As for the symmetry: P4mm, No. 99. For the formation energy from the elements, the calculation gives -0.31 eV/atom.

Lattice parameters (Å, degrees): 3.586 3.586 5.927 90.00 90.00 90.00
Fractional positions:
Hg 0.000 0.000 0.486
Ru 0.500 0.500 0.805
Sc 0.000 0.000 0.949
Sc 0.500 0.500 0.260

=====

Sc2HgRu | meta-GGA SCAN | PBEsol geometry

As for the symmetry: P4/mmm, No. 123. For the formation energy from the elements, the calculation gives -0.74 eV/atom.

Lattice parameters (Å, degrees): 3.227 3.227 7.042 90.00 90.00 90.00
Fractional positions:
Sc 0.000 0.000 0.716
Sc 0.000 0.000 0.284
Ru 0.500 0.500 0.500
Hg 0.500 0.500 0.000

=====

ScHgRu2 | meta-GGA SCAN | PBEsol geometry

As for the symmetry: C2/m, No. 12. For the formation energy from the elements, the calculation gives 0.10 eV/atom.

Lattice parameters (Å, degrees): 2.848 5.036 5.321 117.22 103.86 93.40
Fractional positions:
Hg 0.000 0.500 0.000
Ru 0.000 0.000 0.500
Ru 0.500 0.500 0.500
Sc 0.500 0.000 0.000

=====

HgRu2Se | meta-GGA SCAN | PBEsol geometry

As for the symmetry: P4/mmm, No. 123. The uncorrected formation energy comes out at 0.392 eV per atom.

Lattice parameters (Å, degrees): 2.993 2.993 6.859 90.00 90.00 90.00
Fractional positions:
Hg 0.500 0.500 0.500
Ru 0.000 0.000 0.790
Ru 0.000 0.000 0.210
Se 0.500 0.500 0.000

=====

no.,calculated total energy (eV per atom),total magnetic moment (μB/f.u.)
1,-37.950,1.2
2,-37.956,2.4
3,-33.177,0.0
4,-33.602,0.0
5,-37.909,0.0
6,-39.082,0.0